Density functional theory data (GGA-PBEsol) for a relaxed SrTlCd crystal.

The structure in CIF format:
```
data_SrTlCd
_chemical_formula_sum 'Sr1 Tl1 Cd1'
_cell_length_a 5.0749
_cell_length_b 5.0749
_cell_length_c 3.8249
_cell_angle_alpha 90.00
_cell_angle_beta 90.00
_cell_angle_gamma 120.00
_symmetry_space_group_name_H-M 'P -6 m 2'
_symmetry_Int_Tables_number 187
_symmetry_space_group_name_Hall 'P -6 2'
loop_
_atom_site_label
_atom_site_fract_x
_atom_site_fract_y
_atom_site_fract_z
Sr1 0.0000 0.0000 0.0000
Tl1 0.3333 0.6667 0.5000
Cd1 0.6667 0.3333 0.5000
```

Results
DFT formation energy = -111 kJ/mol of formula units
Final energy = -6.82 eV for the cell shown
D(E_F) = 0.389 states/eV/atom

Density functional theory data (GGA-PBEsol) for a relaxed PrSnAu crystal.

The structure in CIF format:
```
data_PrSnAu
_chemical_formula_sum 'Pr2 Sn2 Au2'
_cell_length_a 4.6757
_cell_length_b 4.6757
_cell_length_c 7.8607
_cell_angle_alpha 90.00
_cell_angle_beta 90.00
_cell_angle_gamma 120.00
_symmetry_space_group_name_H-M 'P 63/m m c'
_symmetry_Int_Tables_number 194
_symmetry_space_group_name_Hall '-P 6c 2c'
loop_
_atom_site_label
_atom_site_fract_x
_atom_site_fract_y
_atom_site_fract_z
Pr1 0.0000 0.0000 0.0000
Sn1 0.3333 0.6667 0.2500
Au1 0.3333 0.6667 0.7500
```

Results
DFT formation energy = -235 kJ/mol of formula units
Final energy = -31.61 eV for the cell shown
D(E_F) = 0.338 states/eV/atom

Density functional theory data (GGA-PBEsol) for a relaxed KTe2SN crystal.

The structure in CIF format:
```
data_KTe2SN
_chemical_formula_sum 'K1 Te2 S1 N1'
_cell_length_a 5.965
_cell_length_b 5.965
_cell_length_c 4.643
_cell_angle_alpha 90.00
_cell_angle_beta 90.00
_cell_angle_gamma 90.00
_symmetry_space_group_name_H-M 'P 4/m m m'
_symmetry_Int_Tables_number 123
_symmetry_space_group_name_Hall '-P 4 2'
loop_
_atom_site_label
_atom_site_fract_x
_atom_site_fract_y
_atom_site_fract_z
K1 0.000 0.000 0.000
Te1 0.000 0.500 0.000
S1 0.500 0.500 0.500
N1 0.000 0.000 0.500
```

Results
Final energy = -11.67 eV for the cell shown
D(E_F) = 1.273 states/eV/atom

Density functional theory data (GGA-PBEsol) for a relaxed VP2O7 crystal.

The structure in CIF format:
```
data_VP2O7
_chemical_formula_sum 'V2 P4 O14'
_cell_length_a 4.807
_cell_length_b 7.909
_cell_length_c 6.954
_cell_angle_alpha 90.00
_cell_angle_beta 105.29
_cell_angle_gamma 90.00
_symmetry_space_group_name_H-M 'P 1 21 1'
_symmetry_Int_Tables_number 4
_symmetry_space_group_name_Hall 'P 2yb'
loop_
_atom_site_label
_atom_site_fract_x
_atom_site_fract_y
_atom_site_fract_z
V1 0.215 0.000 0.230
P1 0.243 0.739 0.613
P2 0.388 0.314 0.001
O1 0.023 0.183 0.324
O2 0.141 0.440 0.949
O3 0.158 0.847 0.427
O4 0.285 0.134 0.019
O5 0.419 0.822 0.141
O6 0.423 0.867 0.780
O7 0.437 0.589 0.598
```

Results
Final energy = -160.44 eV for the cell shown
D(E_F) = 0.544 states/eV/atom
Energy relative to the lowest polymorph listed for this composition = 0.000 eV per atom